# CaSc3Ir4 (PBE, relaxed)
data_CaSc3Ir4
_space_group_name_H-M_alt 'P 4/m m m'
_space_group_IT_number 123
_space_group_name_Hall '-P 4 2'
_cell_length_a 4.6263
_cell_length_b 4.6263
_cell_length_c 6.5092
_cell_angle_alpha 90.00
_cell_angle_beta 90.00
_cell_angle_gamma 90.00
loop_
_atom_site_label
_atom_site_type_symbol
_atom_site_fract_x
_atom_site_fract_y
_atom_site_fract_z
Ca1 Ca 0.0000 0.0000 0.0000
Sc1 Sc 0.0000 0.0000 0.5000
Sc2 Sc 0.5000 0.5000 0.0000
Sc3 Sc 0.5000 0.5000 0.5000
Ir1 Ir 0.0000 0.5000 0.2616
# Energy relative to the elements = -0.780 eV per atom
# Total magnetic moment = 0.00 μB/atom

# AcCePtPb (PBE, relaxed)
data_AcCePtPb
_space_group_name_H-M_alt 'F -4 3 m'
_space_group_IT_number 216
_space_group_name_Hall 'F -4 2 3'
_cell_length_a 7.7684
_cell_length_b 7.7684
_cell_length_c 7.7684
_cell_angle_alpha 90.00
_cell_angle_beta 90.00
_cell_angle_gamma 90.00
loop_
_atom_site_label
_atom_site_type_symbol
_atom_site_fract_x
_atom_site_fract_y
_atom_site_fract_z
Ac1 Ac 0.0000 0.0000 0.0000
Ce1 Ce 0.0000 0.0000 0.5000
Pt1 Pt 0.2500 0.2500 0.2500
Pb1 Pb 0.2500 0.2500 0.7500
# Energy relative to the elements = -0.555 eV per atom
# Total magnetic moment = 0.26 μB/atom

# RbPt3S (PBE, relaxed)
data_RbPt3S
_space_group_name_H-M_alt 'P m -3 m'
_space_group_IT_number 221
_space_group_name_Hall '-P 4 2 3'
_cell_length_a 5.1161
_cell_length_b 5.1161
_cell_length_c 5.1161
_cell_angle_alpha 90.00
_cell_angle_beta 90.00
_cell_angle_gamma 90.00
loop_
_atom_site_label
_atom_site_type_symbol
_atom_site_fract_x
_atom_site_fract_y
_atom_site_fract_z
Rb1 Rb 0.0000 0.0000 0.0000
Pt1 Pt 0.0000 0.0000 0.5000
S1 S 0.5000 0.5000 0.5000
# Raw formation energy = 2505 meV/atom
# Energy relative to the lowest polymorph listed for this composition = 2.289 eV per atom
# Total magnetic moment = 0.27 μB/atom

# Zr2Ag (PBE, relaxed)
data_Zr2Ag
_space_group_name_H-M_alt 'I 41/a m d'
_space_group_IT_number 141
_cell_length_a 4.3429
_cell_length_b 4.3429
_cell_length_c 26.8087
_cell_angle_alpha 90.00
_cell_angle_beta 90.00
_cell_angle_gamma 90.00
loop_
_space_group_symop_operation_xyz
'x,y,z'
'-x,-y,-z'
'-y+1/4,x+3/4,z+1/4'
'y+1/4,-x+3/4,-z+1/4'
'-x+1/2,-y,z+1/2'
'x+1/2,y,-z+1/2'
'y+1/4,-x+1/4,z+3/4'
'-y+1/4,x+1/4,-z+3/4'
'x,-y,-z'
'-x,y,z'
'-y+1/4,-x+1/4,-z+3/4'
'y+1/4,x+1/4,z+3/4'
'-x+1/2,y,-z+1/2'
'x+1/2,-y,z+1/2'
'y+1/4,x+3/4,-z+1/4'
'-y+1/4,-x+3/4,z+1/4'
'x+1/2,y+1/2,z+1/2'
'-x+1/2,-y+1/2,-z+1/2'
'-y+3/4,x+1/4,z+3/4'
'y+3/4,-x+1/4,-z+3/4'
'-x,-y+1/2,z'
'x,y+1/2,-z'
'y+3/4,-x+3/4,z+1/4'
'-y+3/4,x+3/4,-z+1/4'
'x+1/2,-y+1/2,-z+1/2'
'-x+1/2,y+1/2,z+1/2'
'-y+3/4,-x+3/4,-z+1/4'
'y+3/4,x+3/4,z+1/4'
'-x,y+1/2,-z'
'x,-y+1/2,z'
'y+3/4,x+1/4,-z+3/4'
'-y+3/4,-x+1/4,z+3/4'
loop_
_atom_site_label
_atom_site_type_symbol
_atom_site_fract_x
_atom_site_fract_y
_atom_site_fract_z
Zr1 Zr 0.0000 0.2500 0.1208
Zr2 Zr 0.0000 0.2500 0.7894
Ag1 Ag 0.0000 0.2500 0.2895
# Energy relative to the elements = 0.055 eV per atom
# Total magnetic moment = 0.00 μB/atom

# GdAgPb2 (PBE, relaxed)
data_GdAgPb2
_space_group_name_H-M_alt 'F m -3 m'
_space_group_IT_number 225
_space_group_name_Hall '-F 4 2 3'
_cell_length_a 7.5156
_cell_length_b 7.5156
_cell_length_c 7.5156
_cell_angle_alpha 90.00
_cell_angle_beta 90.00
_cell_angle_gamma 90.00
loop_
_atom_site_label
_atom_site_type_symbol
_atom_site_fract_x
_atom_site_fract_y
_atom_site_fract_z
Gd1 Gd 0.0000 0.0000 0.0000
Ag1 Ag 0.0000 0.0000 0.5000
Pb1 Pb 0.2500 0.2500 0.2500
# Energy relative to the elements = -0.161 eV per atom
# Energy relative to the lowest polymorph listed for this composition = 0.146 eV per atom
# Total magnetic moment = 1.74 μB/atom

# Li2Mn3Cl8 (PBE, relaxed)
data_Li2Mn3Cl8
_space_group_name_H-M_alt 'C m c e'
_space_group_IT_number 64
_space_group_name_Hall '-C 2ac 2'
_cell_length_a 7.5211
_cell_length_b 14.8071
_cell_length_c 10.6199
_cell_angle_alpha 90.00
_cell_angle_beta 90.00
_cell_angle_gamma 90.00
loop_
_atom_site_label
_atom_site_type_symbol
_atom_site_fract_x
_atom_site_fract_y
_atom_site_fract_z
Li1 Li 0.0000 0.1277 0.1111
Mn1 Mn 0.0000 0.0000 0.5000
Mn2 Mn 0.2500 0.1340 0.7500
Cl1 Cl 0.0000 0.0051 0.7447
Cl2 Cl 0.0000 0.2451 0.7547
Cl3 Cl 0.2372 0.1191 0.5156
# Raw formation energy = -1297 meV/atom
# Total magnetic moment = 0.39 μB/atom

# PrGa6Ag2 (PBE, relaxed)
data_PrGa6Ag2
_space_group_name_H-M_alt 'P 6/m m m'
_space_group_IT_number 191
_space_group_name_Hall '-P 6 2'
_cell_length_a 8.1904
_cell_length_b 8.1904
_cell_length_c 3.0835
_cell_angle_alpha 90.00
_cell_angle_beta 90.00
_cell_angle_gamma 120.00
loop_
_atom_site_label
_atom_site_type_symbol
_atom_site_fract_x
_atom_site_fract_y
_atom_site_fract_z
Pr1 Pr 0.0000 0.0000 0.0000
Ga1 Ga 0.0000 0.3447 0.5000
Ag1 Ag 0.3333 0.6667 0.0000
# Energy relative to the elements = -0.111 eV per atom
# Energy relative to the lowest polymorph listed for this composition = 0.036 eV per atom
# Total magnetic moment = 0.02 μB/atom

# TeRhSe (PBE, relaxed)
data_TeRhSe
_space_group_name_H-M_alt 'F m m 2'
_space_group_IT_number 42
_space_group_name_Hall 'F 2 -2'
_cell_length_a 4.4330
_cell_length_b 4.4425
_cell_length_c 13.2494
_cell_angle_alpha 90.00
_cell_angle_beta 90.00
_cell_angle_gamma 90.00
loop_
_atom_site_label
_atom_site_type_symbol
_atom_site_fract_x
_atom_site_fract_y
_atom_site_fract_z
Te1 Te 0.0000 0.0000 0.0000
Rh1 Rh 0.0000 0.0000 0.6486
Se1 Se 0.0000 0.0000 0.2540
# Raw formation energy = -7 meV/atom
# Energy relative to the lowest polymorph listed for this composition = 0.396 eV per atom
# Total magnetic moment = 0.00 μB/atom

# CdBiIBr2 (PBE, relaxed)
data_CdBiIBr2
_space_group_name_H-M_alt 'P 4/m m m'
_space_group_IT_number 123
_space_group_name_Hall '-P 4 2'
_cell_length_a 5.2513
_cell_length_b 5.2513
_cell_length_c 6.3747
_cell_angle_alpha 90.00
_cell_angle_beta 90.00
_cell_angle_gamma 90.00
loop_
_atom_site_label
_atom_site_type_symbol
_atom_site_fract_x
_atom_site_fract_y
_atom_site_fract_z
Cd1 Cd 0.0000 0.0000 0.0000
Bi1 Bi 0.0000 0.0000 0.5000
I1 I 0.5000 0.5000 0.5000
Br1 Br 0.0000 0.5000 0.0000
# Raw formation energy = -86 meV/atom
# Total magnetic moment = 0.00 μB/atom

# CsCd3As3 (PBE, relaxed)
data_CsCd3As3
_space_group_name_H-M_alt 'P m -3 n'
_space_group_IT_number 223
_space_group_name_Hall '-P 4n 2 3'
_cell_length_a 7.6045
_cell_length_b 7.6045
_cell_length_c 7.6045
_cell_angle_alpha 90.00
_cell_angle_beta 90.00
_cell_angle_gamma 90.00
loop_
_atom_site_label
_atom_site_type_symbol
_atom_site_fract_x
_atom_site_fract_y
_atom_site_fract_z
Cs1 Cs 0.0000 0.0000 0.0000
Cd1 Cd 0.0000 0.2500 0.5000
As1 As 0.0000 0.5000 0.2500
# Energy relative to the elements = -0.172 eV per atom
# Total magnetic moment = 0.00 μB/atom

# HfUIr4 (PBE, relaxed)
data_HfUIr4
_space_group_name_H-M_alt 'F -4 3 m'
_space_group_IT_number 216
_space_group_name_Hall 'F -4 2 3'
_cell_length_a 7.4755
_cell_length_b 7.4755
_cell_length_c 7.4755
_cell_angle_alpha 90.00
_cell_angle_beta 90.00
_cell_angle_gamma 90.00
loop_
_atom_site_label
_atom_site_type_symbol
_atom_site_fract_x
_atom_site_fract_y
_atom_site_fract_z
Hf1 Hf 0.0000 0.0000 0.0000
U1 U 0.2500 0.2500 0.2500
Ir1 Ir 0.1254 0.1254 0.6254
# Energy relative to the elements = -0.583 eV per atom
# Total magnetic moment = 0.27 μB/atom

# ThZr2Cr (PBE, relaxed)
data_ThZr2Cr
_space_group_name_H-M_alt 'P 4/m m m'
_space_group_IT_number 123
_space_group_name_Hall '-P 4 2'
_cell_length_a 3.3163
_cell_length_b 3.3163
_cell_length_c 8.1136
_cell_angle_alpha 90.00
_cell_angle_beta 90.00
_cell_angle_gamma 90.00
loop_
_atom_site_label
_atom_site_type_symbol
_atom_site_fract_x
_atom_site_fract_y
_atom_site_fract_z
Th1 Th 0.0000 0.0000 0.0000
Zr1 Zr 0.5000 0.5000 0.3084
Cr1 Cr 0.0000 0.0000 0.5000
# Energy relative to the elements = 0.159 eV per atom
# Total magnetic moment = 0.24 μB/atom

no.,E (eV/atom)
1,-7.835
2,-5.503
3,-2.139
4,-6.594
5,-6.248
6,-4.843
7,-3.293
8,-4.666
9,-2.024
10,-2.679
11,-10.031
12,-8.376